{"formula": "LiNbSiNi", "functional": "PBE", "state": "relaxed", "final_energy_ev_per_atom": -5.885, "e_above_lowest_polymorph_ev_per_atom": 0.000, "lattice_angstrom": [[0.0000, 2.9640, 2.9640], [2.9640, 0.0000, 2.9640], [2.9640, 2.9640, 0.0000]], "species": ["Li", "Si", "Nb", "Ni"], "frac_coords": [[0.5000, 0.5000, 0.5000], [0.0000, 0.0000, 0.0000], [0.2500, 0.2500, 0.2500], [0.7500, 0.7500, 0.7500]]}